No. 1
Density functional theory data (PBE-GGA) for a geometry-optimized Ce2MgZn2Pt5 structure.

Unit cell a=9.8301 b=9.8301 c=3.8116 alpha=90.00 beta=90.00 gamma=90.00
Space group P4/mbm (No. 127)
One atom of each set of equivalent atoms:
1 Ce 0.1777 0.3223 0.0000 x4
2 Mg 0.0000 0.0000 0.0000 x2
3 Zn 0.1206 0.6206 0.0000 x4
4 Pt 0.0000 0.5000 0.5000 x2
5 Pt 0.0648 0.7940 0.5000 x8

Properties
E_tot = -5.38 eV/atom
total magnetization = 1.243 μB per formula unit
calculated volume = 368 Å³ per cell



No. 2
Density functional theory data (PBE-GGA) for a geometry-optimized SmZn2GaNi4 structure.

Unit cell a=4.0908 b=4.0908 c=24.6077 alpha=90.00 beta=90.00 gamma=120.00
Space group R-3m (No. 166, hexagonal axes)
One atom of each set of equivalent atoms:
1 Sm 0.0000 0.0000 0.0000 x3
2 Zn 0.0000 0.0000 0.2402 x6
3 Ga 0.0000 0.0000 0.5000 x3
4 Ni 0.0000 0.0000 0.1306 x6
5 Ni 0.0000 0.0000 0.4050 x6

Properties
E_tot = -4.47 eV/atom
total magnetization = 0.000 μB per formula unit
calculated volume = 357 Å³ per cell



No. 3
Density functional theory data (PBE-GGA) for a geometry-optimized YRe2Cl structure.

Unit cell a=3.6274 b=5.4669 c=8.3752 alpha=90.00 beta=90.00 gamma=90.00
Space group Imm2 (No. 44)
One atom of each set of equivalent atoms:
1 Y 0.0000 0.0000 0.0000 x2
2 Re 0.0000 0.0000 0.5155 x2
3 Re 0.0000 0.5000 0.8319 x2
4 Cl 0.0000 0.5000 0.2431 x2

Properties
E above lowest polymorph = 0.525 eV per atom
energy relative to the elements, uncorrected = 331 meV/atom
total magnetization = 0.000 μB per formula unit
calculated volume = 166 Å³ per cell



Copy entry 1 word for word.
Density functional theory data (PBE-GGA) for a geometry-optimized Ce2MgZn2Pt5 structure.

Unit cell a=9.8301 b=9.8301 c=3.8116 alpha=90.00 beta=90.00 gamma=90.00
Space group P4/mbm (No. 127)
One atom of each set of equivalent atoms:
1 Ce 0.1777 0.3223 0.0000 x4
2 Mg 0.0000 0.0000 0.0000 x2
3 Zn 0.1206 0.6206 0.0000 x4
4 Pt 0.0000 0.5000 0.5000 x2
5 Pt 0.0648 0.7940 0.5000 x8

Properties
E_tot = -5.38 eV/atom
total magnetization = 1.243 μB per formula unit
calculated volume = 368 Å³ per cell



What is the formula in the second record? SmZn2GaNi4



Number 3 is which compound? YRe2Cl



Which formula does entry 3 have? YRe2Cl